Entry from Alexandria: TlVPt2I after structural relaxation (PBE).

a b c (Å): 5.0863 5.0863 5.3610
angles (deg): 90.00 90.00 90.00
Last column: nearest neighbours and their distance in Å.
Atoms (fractional coordinates):
Tl1 0.0000 0.0000 0.0000  4 Pt 2.54, 2 V 2.68
V1 0.0000 0.0000 0.5000  2 Tl 2.68
Pt1 0.0000 0.5000 0.0000  2 Tl 2.54
Pt2 0.5000 0.0000 0.0000  2 Tl 2.54
I1 0.5000 0.5000 0.5000  4 V 3.60, 8 Pt 3.69

Computed properties:
- uncorrected formation energy (eV per atom) = 1.257